{"formula": "ScNiAs2O8", "functional": "PBE+U", "state": "optimized geometry", "lattice_angstrom": [[-4.492, 2.610, -1.960], [1.027, -5.252, -1.482], [-3.072, -1.881, 4.537]], "species": ["O", "O", "O", "O", "O", "O", "O", "O", "Ni", "As", "As", "Sc"], "fractional_positions": [[0.162, 0.324, 0.756], [0.838, 0.676, 0.244], [0.333, 0.667, 0.371], [0.838, 0.162, 0.244], [0.324, 0.162, 0.244], [0.667, 0.333, 0.629], [0.162, 0.838, 0.756], [0.676, 0.838, 0.756], [0.000, 0.000, 0.500], [0.667, 0.333, 0.337], [0.333, 0.667, 0.663], [0.000, 0.000, 0.000]], "magnetic_moment_mub_per_fu": 3.04, "crystal_system": "trigonal", "dft_energy_ev_per_atom": -6.27}


{"formula": "MnPt2F8", "functional": "PBE+U", "state": "optimized geometry", "lattice_angstrom": [[-3.879, -2.724, -0.494], [2.911, -4.863, 3.936], [-3.577, 4.257, 1.853]], "species": ["F", "F", "F", "F", "F", "F", "F", "F", "Pt", "Pt", "Mn"], "fractional_positions": [[0.756, 0.325, 0.227], [0.751, 0.826, 0.650], [0.249, 0.174, 0.350], [0.756, 0.901, 0.226], [0.244, 0.675, 0.773], [0.742, 0.402, 0.805], [0.258, 0.598, 0.195], [0.244, 0.099, 0.774], [0.751, 0.617, 0.234], [0.249, 0.383, 0.766], [0.000, 0.000, 0.000]], "magnetic_moment_mub_per_fu": 4.62, "crystal_system": "monoclinic", "dft_energy_ev_per_atom": -4.68}